Density functional theory data (PBEsol) for crystalline MgZrCd2 at its relaxed geometry.

Cell lengths 2.9424, 4.3596, 6.3983 Å; angles 90.00, 90.00, 90.00 degrees
With the nearest neighbours (Å) after each atom.
Sites, in units of the cell vectors:
Mg 0.0000 0.0000 0.0000  2 Mg 2.94, 8 Cd 3.07, 2 Zr 3.20
Zr 0.0000 0.0000 0.5000  2 Zr 2.94, 8 Cd 3.09, 2 Mg 3.20
Cd 0.5000 0.5000 0.2478  4 Cd 2.94-3.23, 4 Mg 3.07, 4 Zr 3.09
Cd 0.5000 0.5000 0.7522  4 Cd 2.94-3.23, 4 Mg 3.07, 4 Zr 3.09

## Properties
* VASP energy: -3.411 eV/atom
* SG: Pmmm
* density: 6886 kg/m3